Crystalline ScCdBr2 at its relaxed geometry, computed with PBE.

Energy relative to the lowest polymorph listed for this composition: 0.103 eV per atom
Formation energy from raw total energies: -0.905 eV/atom
Spin magnetization: 0.00 μB per atom
Total energy: -3.553 eV per atom

Cell: 3.3744 3.3744 9.9240 Å, 90.00 90.00 90.00°
With the nearest neighbours (Å) after each atom.
Atoms (fractional coordinates):
Sc1 0.0000 0.0000 0.0000  8 Br 2.90
Cd1 0.0000 0.0000 0.5000  4 Cd 3.37
Br1 0.5000 0.5000 0.1656  4 Sc 2.90
Br2 0.5000 0.5000 0.8344  4 Sc 2.90